[1]
# Rb3Tl3Pd

A geometry-optimized Rb3Tl3Pd structure (PBE, the Alexandria database).

Geometry as POSCAR:
```
Rb3Tl3Pd
1.0
7.610 0.794 -0.620
-2.189 7.331 -0.620
0.064 0.096 10.137
Rb Tl Pd
6 6 2
direct
0.357 0.357 0.684
0.187 0.813 0.500
0.813 0.187 0.500
0.285 0.715 0.000
0.715 0.285 0.000
0.643 0.643 0.316
0.028 0.028 0.826
0.406 0.133 0.269
0.133 0.406 0.269
0.594 0.867 0.731
0.867 0.594 0.731
0.972 0.972 0.174
0.223 0.223 0.043
0.777 0.777 0.957
```

Its energy of formation from the pure elements is -0.049 eV per atom. The calculation puts the calculated volume at 583.97 Å³ per cell.



[2]
# RbTl12Pd6

A geometry-optimized RbTl12Pd6 structure (PBE, the Alexandria database).

Geometry as POSCAR:
```
RbTl12Pd6
1.0
8.266 -0.033 -0.046
-2.081 8.000 -0.046
-2.081 -2.680 7.538
Rb Tl Pd
1 12 6
direct
0.000 0.000 0.000
0.879 0.121 0.500
0.837 0.574 0.574
0.574 0.574 0.837
0.426 0.163 0.426
0.426 0.426 0.163
0.163 0.426 0.426
0.121 0.500 0.879
0.500 0.879 0.121
0.121 0.879 0.500
0.879 0.500 0.121
0.500 0.121 0.879
0.574 0.837 0.574
0.696 0.264 0.264
0.264 0.264 0.696
0.264 0.696 0.264
0.736 0.736 0.304
0.304 0.736 0.736
0.736 0.304 0.736
```

Its energy of formation from the pure elements is -0.100 eV per atom. The calculation puts the calculated volume at 495.89 Å³ per cell.



[3]
# Rb2Tl5Pd

A geometry-optimized Rb2Tl5Pd structure (PBE, the Alexandria database).

Geometry as POSCAR:
```
Rb2Tl5Pd
1.0
-2.022 1.431 -6.300
-4.281 -5.240 0.184
-1.544 5.824 5.454
Rb Tl Pd
2 5 1
direct
0.287 0.787 0.574
0.787 0.287 0.574
0.770 0.276 0.046
0.277 0.277 0.046
0.770 0.770 0.046
0.276 0.770 0.046
0.698 0.698 0.397
0.912 0.912 0.825
```

Its energy of formation from the pure elements is -0.044 eV per atom. The calculation puts the calculated volume at 301.02 Å³ per cell.



[4]
# RbTl7Pd5

A geometry-optimized RbTl7Pd5 structure (PBE, the Alexandria database).

Geometry as POSCAR:
```
RbTl7Pd5
1.0
-0.647 1.769 -5.533
4.161 -4.272 -4.940
-5.954 -3.496 -3.508
Rb Tl Pd
1 7 5
direct
0.988 0.012 0.012
0.637 0.363 0.363
0.319 0.681 0.681
0.984 0.357 0.675
0.984 0.675 0.357
0.268 0.232 0.232
0.524 0.783 0.169
0.524 0.169 0.783
0.503 0.994 0.488
0.014 0.994 0.488
0.503 0.488 0.994
0.014 0.488 0.994
0.737 0.763 0.763
```

Its energy of formation from the pure elements is -0.100 eV per atom. The calculation puts the calculated volume at 300.55 Å³ per cell.



[5]
# Rb3Tl8Pd3

A geometry-optimized Rb3Tl8Pd3 structure (PBE, the Alexandria database).

Geometry as POSCAR:
```
Rb3Tl8Pd3
1.0
-2.957 -3.912 -0.247
3.926 -6.438 6.165
-6.569 1.439 7.047
Rb Tl Pd
3 8 3
direct
0.500 0.500 0.500
0.776 0.224 0.224
0.224 0.776 0.776
0.619 0.055 0.707
0.381 0.945 0.293
0.619 0.707 0.055
0.381 0.293 0.945
0.867 0.816 0.451
0.133 0.184 0.549
0.867 0.451 0.816
0.133 0.549 0.184
0.500 0.000 0.000
0.000 0.871 0.129
0.000 0.129 0.871
```

Its energy of formation from the pure elements is -0.071 eV per atom. The calculation puts the calculated volume at 436.05 Å³ per cell.



[6]
# RbTl6Pd6

A geometry-optimized RbTl6Pd6 structure (PBE, the Alexandria database).

Geometry as POSCAR:
```
RbTl6Pd6
1.0
5.777 0.000 0.000
2.889 6.963 0.084
2.889 0.251 6.959
Rb Tl Pd
1 6 6
direct
0.000 0.000 0.000
0.341 0.659 0.659
0.659 0.341 0.341
0.000 0.335 0.665
0.000 0.665 0.335
0.324 0.176 0.176
0.676 0.824 0.824
0.000 0.500 0.000
0.500 0.500 0.000
0.000 0.000 0.500
0.500 0.000 0.500
0.500 0.757 0.243
0.500 0.243 0.757
```

Its energy of formation from the pure elements is -0.160 eV per atom. The calculation puts the calculated volume at 279.84 Å³ per cell.



no.,total magnetic moment (μB per cell)
1,0.00
2,0.00
3,0.00
4,0.00
5,0.00
6,0.00